A plane-wave DFT calculation with PBE with a Hubbard U was carried out for an optimized crystal structure of KTi3Mn2O8.

abc: 6.4945 6.4945 6.4945
angles: 56.62 56.62 56.62
With the nearest neighbours (Å) after each atom.
Fractional positions:
K 0.0000 0.0000 0.0000  4 O 2.30-2.33
Ti 0.3648 0.3648 0.8757  6 O 1.94-2.13
Ti 0.3648 0.8757 0.3648  6 O 1.94-2.13
Ti 0.8757 0.3648 0.3648  6 O 1.94-2.13
Mn 0.3677 0.3677 0.3677  6 O 2.23
Mn 0.7468 0.7468 0.7468  4 O 2.09-2.34
O 0.1255 0.1255 0.5470  2 Ti 1.94
O 0.1255 0.5470 0.1255  2 Ti 1.94
O 0.1412 0.1412 0.1412  3 Ti 2.00
O 0.1586 0.6138 0.6138  2 Mn 2.09-2.23, 2 Ti 2.10
O 0.5470 0.1255 0.1255  2 Ti 1.94
O 0.6032 0.6032 0.6032  3 Ti 2.13, 1 Mn 2.34
O 0.6138 0.1586 0.6138  2 Mn 2.09-2.23, 2 Ti 2.10
O 0.6138 0.6138 0.1586  2 Mn 2.09-2.23, 2 Ti 2.10

## Properties
The uncorrected energy comes out at -8.071 eV/atom. The value obtained for the density of states at the Fermi level is 3.388 states/eV/cell. The calculated volume comes out at 179 Å³ per cell.